YZrCu2 (SCAN, PBEsol geometry); Fermi-level density of states = 2.61 states/eV per cell; E above lowest polymorph = 15 meV/atom; electronic total energy = -89.778 eV/cell; E_form = -0.2094 eV per atom; crystal system = monoclinic; space group = Pm, No. 6
1.0
-0.918 -2.964 -1.433
2.663 0.758 -3.275
3.999 -1.512 2.901
Zr Y Cu
1 1 2
Cartesian
4.495 -1.688 0.456
1.221 -2.056 0.516
3.102 -3.924 1.614
1.547 -2.764 -2.190